# 1
## LiPmAu (GGA-PBE)

Data for an optimized crystal structure of LiPmAu.

Cell: 4.5347 4.5347 3.7693 Å, 90.00 90.00 120.00°
Space group P-6m2 (No. 187)
Unique sites:
Li 0.0000 0.0000 0.0000 [1 per cell]
Pm 0.6667 0.3333 0.5000 [1 per cell]
Au 0.3333 0.6667 0.0000 [1 per cell]

Calculated values
Energy of formation in eV/atom: -0.511
Energy above the most stable polymorph in this dataset in eV per atom: 0.077
N(E_F) in states/eV/atom: 0.86

# 2
## CaTiTe2I (GGA-PBE)

Data for an optimized crystal structure of CaTiTe2I.

Cell: 5.454 5.454 5.567 Å, 90.00 90.00 90.00°
Space group P4/mmm (No. 123)
Unique sites:
Ca 0.000 0.000 0.000 [1 per cell]
Ti 0.500 0.500 0.500 [1 per cell]
Te 0.000 0.500 0.500 [2 per cell]
I 0.500 0.500 0.000 [1 per cell]

Calculated values
Energy above the most stable polymorph in this dataset in eV per atom: 0.000
N(E_F) in states/eV/atom: 0.68

# 3
## K2CdCoPd (GGA-PBE)

Data for an optimized crystal structure of K2CdCoPd.

Cell: 5.893 5.893 5.002 Å, 90.00 90.00 90.00°
Space group P4/mmm (No. 123)
Unique sites:
K 0.000 0.500 0.000 [2 per cell]
Cd 0.000 0.000 0.500 [1 per cell]
Co 0.000 0.000 0.000 [1 per cell]
Pd 0.500 0.500 0.500 [1 per cell]

Calculated values
Energy of formation in eV/atom: 0.825
Energy above the most stable polymorph in this dataset in eV per atom: 0.279
N(E_F) in states/eV/atom: 1.25

# 4
## TbMgOs (GGA-PBE)

Data for an optimized crystal structure of TbMgOs.

Cell: 5.836 12.180 7.614 Å, 90.00 90.00 90.00°
Space group Cmce (No. 64)
Unique sites:
Tb 0.000 0.191 0.107 [8 per cell]
Mg 0.250 0.052 0.750 [8 per cell]
Os 0.000 0.100 0.463 [8 per cell]

Calculated values
Energy of formation in eV/atom: 0.000
N(E_F) in states/eV/atom: 1.09

# 5
## In4Hg3Te (GGA-PBE)

Data for an optimized crystal structure of In4Hg3Te.

Cell: 4.328 6.672 8.802 Å, 69.08 78.74 76.86°
Space group P-1 (No. 2)
Unique sites:
In 0.004 0.244 0.255 [2 per cell]
In 0.494 0.751 0.253 [2 per cell]
Hg 0.000 0.000 0.000 [1 per cell]
Hg 0.000 0.500 0.500 [1 per cell]
Hg 0.500 0.000 0.500 [1 per cell]
Te 0.500 0.500 0.000 [1 per cell]

Calculated values
Energy in Ry per atom: -0.1414
N(E_F) in states/eV/atom: 0.40

# 6
## LiAcAsH (GGA-PBE)

Data for an optimized crystal structure of LiAcAsH.

Cell: 4.275 4.275 8.420 Å, 90.00 90.00 90.00°
Space group P4/nmm (No. 129, origin choice 2)
Unique sites:
Li 0.250 0.750 0.000 [2 per cell]
Ac 0.250 0.250 0.332 [2 per cell]
As 0.250 0.250 0.811 [2 per cell]
H 0.250 0.750 0.500 [2 per cell]

Calculated values
Energy above the most stable polymorph in this dataset in eV per atom: 0.000

# 7
## Er3PbSe2 (GGA-PBE)

Data for an optimized crystal structure of Er3PbSe2.

Cell: 4.195 5.926 12.464 Å, 90.00 90.00 90.00°
Space group Immm (No. 71)
Unique sites:
Er 0.000 0.000 0.000 [2 per cell]
Er 0.000 0.000 0.326 [4 per cell]
Pb 0.000 0.500 0.000 [2 per cell]
Se 0.000 0.500 0.335 [4 per cell]

Calculated values
Energy in Ry per atom: -0.3939
N(E_F) in states/eV/atom: 0.40

# 8
## Hf4TlPb (GGA-PBE)

Data for an optimized crystal structure of Hf4TlPb.

Cell: 5.163 10.158 5.166 Å, 90.00 90.12 90.00°
Space group C2/m (No. 12)
Unique sites:
Hf 0.000 0.167 0.000 [4 per cell]
Hf 0.000 0.332 0.500 [4 per cell]
Tl 0.000 0.000 0.500 [2 per cell]
Pb 0.000 0.500 0.000 [2 per cell]

Calculated values
Energy of formation in eV/atom: -0.008
Energy above the most stable polymorph in this dataset in eV per atom: 0.000
N(E_F) in states/eV/atom: 0.48

# 9
## SrSn4 (GGA-PBE)

Data for an optimized crystal structure of SrSn4.

Cell: 5.927 5.927 5.927 Å, 90.00 90.00 90.00°
Space group Pm-3m (No. 221)
Unique sites:
Sr 0.000 0.000 0.000 [1 per cell]
Sn 0.000 0.000 0.500 [3 per cell]
Sn 0.500 0.500 0.500 [1 per cell]

Calculated values
Energy of formation in eV/atom: 0.860
N(E_F) in states/eV/atom: 1.60

# 10
## KLaTl (GGA-PBE)

Data for an optimized crystal structure of KLaTl.

Cell: 3.929 3.929 16.104 Å, 90.00 90.00 90.00°
Space group I4mm (No. 107)
Unique sites:
K 0.000 0.000 0.000 [2 per cell]
La 0.000 0.000 0.270 [2 per cell]
Tl 0.000 0.000 0.660 [2 per cell]

Calculated values
Energy of formation in eV/atom: -0.026
Energy above the most stable polymorph in this dataset in eV per atom: 0.000
N(E_F) in states/eV/atom: 1.02

# 11
## Tl2Cr2Se2S (GGA-PBE)

Data for an optimized crystal structure of Tl2Cr2Se2S.

Cell: 4.573 4.573 16.529 Å, 90.00 90.00 90.00°
Space group I4/mmm (No. 139)
Unique sites:
Tl 0.000 0.000 0.186 [4 per cell]
Cr 0.000 0.500 0.000 [4 per cell]
Se 0.000 0.000 0.400 [4 per cell]
S 0.000 0.000 0.000 [2 per cell]

Calculated values
Energy in Ry per atom: -0.3868
N(E_F) in states/eV/atom: 0.44

# 12
## BeC3N (GGA-PBE)

Data for an optimized crystal structure of BeC3N.

Cell: 3.484 3.484 3.484 Å, 90.00 90.00 90.00°
Space group Pm-3m (No. 221)
Unique sites:
Be 0.000 0.000 0.000 [1 per cell]
C 0.000 0.000 0.500 [3 per cell]
N 0.500 0.500 0.500 [1 per cell]

Calculated values
Energy above the most stable polymorph in this dataset in eV per atom: 0.111
N(E_F) in states/eV/atom: 0.37

# 13
## MnZn5Au2 (GGA-PBE)

Data for an optimized crystal structure of MnZn5Au2.

Cell: 3.990 3.990 15.430 Å, 90.00 90.00 90.00°
Space group I4/mmm (No. 139)
Unique sites:
Mn 0.000 0.000 0.000 [2 per cell]
Zn 0.000 0.000 0.500 [2 per cell]
Zn 0.000 0.500 0.118 [8 per cell]
Au 0.000 0.000 0.235 [4 per cell]

Calculated values
Energy of formation in eV/atom: -0.084
N(E_F) in states/eV/atom: 0.46